# 1
Compound: Zr2SiCl
Source: the Alexandria database
Functional: PBE
Structure: relaxed

a b c (Å): 4.1685 3.3967 10.8761
angles (deg): 90.00 90.00 90.00
With the nearest neighbours (Å) after each atom.
Space group Amm2 (No. 38)
Inequivalent atoms, fractional coordinates:
Zr1 0.0000 0.0000 0.0000 (multiplicity 2)  1 Cl 2.43
Zr2 0.5000 0.0000 0.2660 (multiplicity 2)  4 Cl 2.69, 2 Si 2.95
Si1 0.5000 0.0000 0.5445 (multiplicity 2)  7 Zr 2.73-3.03
Cl1 0.0000 0.0000 0.7765 (multiplicity 2)  5 Zr 2.43-2.69

Results
Calculated density   5.3 Mg/m³
DOS at the Fermi energy   4.88 states/eV/cell
ΔE to the lowest computed polymorph   0.138 eV per atom
Raw total energy   -6.677 eV per atom

---

# 2
Compound: ZrSiCl2
Source: the Alexandria database
Functional: PBE
Structure: relaxed

a b c (Å): 3.1587 6.1826 9.8757
angles (deg): 90.00 90.00 90.00
With the nearest neighbours (Å) after each atom.
Space group Cmm2 (No. 35)
Inequivalent atoms, fractional coordinates:
Zr1 0.0000 0.0000 0.0000 (multiplicity 2)  2 Cl 2.53, 2 Si 2.66
Si1 0.0000 0.5000 0.2173 (multiplicity 2)  2 Cl 2.44, 2 Zr 2.66
Cl1 0.0000 0.0000 0.4060 (multiplicity 2)  2 Si 2.44
Cl2 0.0000 0.5000 0.7992 (multiplicity 2)  2 Zr 2.53

Results
Calculated density   3.3 Mg/m³
DOS at the Fermi energy   0.37 states/eV/cell
ΔE to the lowest computed polymorph   0.327 eV per atom
Raw total energy   -4.951 eV per atom

---

# 3
Compound: ZrSiCl2
Source: the Alexandria database
Functional: PBE
Structure: relaxed

a b c (Å): 3.1218 4.5333 5.3501
angles (deg): 90.00 90.00 90.00
With the nearest neighbours (Å) after each atom.
Space group Pmmm (No. 47)
Inequivalent atoms, fractional coordinates:
Zr1 0.0000 0.0000 0.0000 (multiplicity 1)  4 Cl 2.75
Si1 0.5000 0.0000 0.5000 (multiplicity 1)  4 Cl 2.75
Cl1 0.0000 0.5000 0.5000 (multiplicity 1)  4 Si 2.75
Cl2 0.5000 0.5000 0.0000 (multiplicity 1)  4 Zr 2.75

Results
Calculated density   4.2 Mg/m³
DOS at the Fermi energy   1.10 states/eV/cell
ΔE to the lowest computed polymorph   0.470 eV per atom
Raw total energy   -4.808 eV per atom

---

# 4
Compound: ZrSi2Cl
Source: the Alexandria database
Functional: PBE
Structure: relaxed

a b c (Å): 3.7689 3.7689 5.1712
angles (deg): 90.00 90.00 90.00
With the nearest neighbours (Å) after each atom.
Space group P4/mmm (No. 123)
Inequivalent atoms, fractional coordinates:
Zr1 0.0000 0.0000 0.0000 (multiplicity 1)  2 Cl 2.59
Si1 0.5000 0.5000 0.2322 (multiplicity 2)  1 Si 2.40
Cl1 0.0000 0.0000 0.5000 (multiplicity 1)  2 Zr 2.59

Results
Calculated density   4.1 Mg/m³
DOS at the Fermi energy   2.90 states/eV/cell
ΔE to the lowest computed polymorph   0.193 eV per atom
Raw total energy   -5.525 eV per atom

---

# 5
Compound: ZrSi2Cl
Source: the Alexandria database
Functional: PBE
Structure: relaxed

a b c (Å): 5.0590 5.0590 2.9546
angles (deg): 90.00 90.00 90.00
With the nearest neighbours (Å) after each atom.
Space group P4/mmm (No. 123)
Inequivalent atoms, fractional coordinates:
Zr1 0.0000 0.0000 0.0000 (multiplicity 1)  8 Si 2.93, 2 Zr 2.95
Si1 0.0000 0.5000 0.5000 (multiplicity 2)  4 Zr 2.93, 4 Cl 2.93, 2 Si 2.95
Cl1 0.5000 0.5000 0.0000 (multiplicity 1)  8 Si 2.93, 2 Cl 2.95

Results
Calculated density   4.0 Mg/m³
DOS at the Fermi energy   2.14 states/eV/cell
ΔE to the lowest computed polymorph   0.452 eV per atom
Raw total energy   -5.266 eV per atom

---

# 6
Compound: ZrSiCl2
Source: the Alexandria database
Functional: PBE
Structure: relaxed

a b c (Å): 4.0406 4.0406 9.2752
angles (deg): 90.00 90.00 90.00
With the nearest neighbours (Å) after each atom.
Space group I-4m2 (No. 119)
Inequivalent atoms, fractional coordinates:
Zr1 0.0000 0.0000 0.0000 (multiplicity 2)  8 Cl 2.86-3.08, 4 Si 3.08
Si1 0.0000 0.5000 0.2500 (multiplicity 2)  8 Cl 2.86-3.08, 4 Zr 3.08
Cl1 0.0000 0.0000 0.5000 (multiplicity 2)  4 Zr 2.86, 4 Cl 3.08, 4 Si 3.08
Cl2 0.0000 0.5000 0.7500 (multiplicity 2)  4 Si 2.86, 4 Zr 3.08, 4 Cl 3.08

Results
Calculated density   4.2 Mg/m³
DOS at the Fermi energy   5.59 states/eV/cell
ΔE to the lowest computed polymorph   0.731 eV per atom
Raw total energy   -4.547 eV per atom

---

# 7
Compound: Zr2SiCl
Source: the Alexandria database
Functional: PBE
Structure: relaxed

a b c (Å): 6.8100 6.8093 3.1566
angles (deg): 90.00 90.19 90.00
With the nearest neighbours (Å) after each atom.
Space group C2/m (No. 12)
Inequivalent atoms, fractional coordinates:
Zr1 0.2500 0.2500 0.0000 (multiplicity 4)  4 Cl 2.88, 4 Si 2.88, 2 Zr 3.16
Si1 0.0000 0.0000 0.5000 (multiplicity 2)  8 Zr 2.88, 2 Si 3.16
Cl1 0.0000 0.5000 0.5000 (multiplicity 2)  8 Zr 2.88, 2 Cl 3.16

Results
Calculated density   5.6 Mg/m³
DOS at the Fermi energy   4.39 states/eV/cell
ΔE to the lowest computed polymorph   0.186 eV per atom
Raw total energy   -6.628 eV per atom

---

# 8
Compound: ZrSiCl2
Source: the Alexandria database
Functional: PBE
Structure: relaxed

a b c (Å): 3.0813 3.0813 11.2097
angles (deg): 90.00 90.00 90.00
With the nearest neighbours (Å) after each atom.
Space group P4/mmm (No. 123)
Inequivalent atoms, fractional coordinates:
Zr1 0.0000 0.0000 0.0000 (multiplicity 1)  8 Cl 2.70
Si1 0.0000 0.0000 0.5000 (multiplicity 1)  4 Si 3.08
Cl1 0.5000 0.5000 0.1424 (multiplicity 2)  4 Zr 2.70

Results
Calculated density   3.0 Mg/m³
DOS at the Fermi energy   3.15 states/eV/cell
ΔE to the lowest computed polymorph   0.413 eV per atom
Raw total energy   -4.865 eV per atom

---

# 9
Compound: ZrSiCl2
Source: the Alexandria database
Functional: PBE
Structure: relaxed

a b c (Å): 4.1902 4.1902 8.8040
angles (deg): 90.00 90.00 90.00
With the nearest neighbours (Å) after each atom.
Space group I4/mmm (No. 139)
Inequivalent atoms, fractional coordinates:
Zr1 0.0000 0.0000 0.0000 (multiplicity 2)  4 Si 2.96, 8 Cl 3.04
Si1 0.0000 0.0000 0.5000 (multiplicity 2)  4 Zr 2.96, 8 Cl 3.04
Cl1 0.0000 0.5000 0.2500 (multiplicity 4)  4 Cl 2.96, 4 Zr 3.04, 4 Si 3.04

Results
Calculated density   4.1 Mg/m³
DOS at the Fermi energy   3.75 states/eV/cell
ΔE to the lowest computed polymorph   0.649 eV per atom
Raw total energy   -4.628 eV per atom

---

# 10
Compound: ZrSiCl2
Source: the Alexandria database
Functional: PBE
Structure: relaxed

a b c (Å): 3.2829 3.2829 28.7804
angles (deg): 90.00 90.00 120.00
With the nearest neighbours (Å) after each atom.
Space group R-3m (No. 166, hexagonal axes)
Inequivalent atoms, fractional coordinates:
Zr1 0.0000 0.0000 0.0000 (multiplicity 3)  2 Cl 2.43
Si1 0.0000 0.0000 0.5000 (multiplicity 3)  6 Cl 3.03, 6 Si 3.28
Cl1 0.0000 0.0000 0.0846 (multiplicity 6)  1 Zr 2.43

Results
Calculated density   3.5 Mg/m³
DOS at the Fermi energy   8.57 states/eV/cell
ΔE to the lowest computed polymorph   0.699 eV per atom
Raw total energy   -4.579 eV per atom

---

# 11
Compound: Zr2SiCl
Source: the Alexandria database
Functional: PBE
Structure: relaxed

a b c (Å): 3.1716 3.1716 26.0449
angles (deg): 90.00 90.00 120.00
With the nearest neighbours (Å) after each atom.
Space group R-3m (No. 166, hexagonal axes)
Inequivalent atoms, fractional coordinates:
Zr1 0.0000 0.0000 0.2501 (multiplicity 6)  3 Si 2.84, 3 Cl 2.84, 6 Zr 3.17
Si1 0.0000 0.0000 0.0000 (multiplicity 3)  6 Zr 2.84, 6 Si 3.17
Cl1 0.0000 0.0000 0.5000 (multiplicity 3)  6 Zr 2.84, 6 Cl 3.17

Results
Calculated density   5.4 Mg/m³
DOS at the Fermi energy   8.12 states/eV/cell
ΔE to the lowest computed polymorph   0.245 eV per atom
Raw total energy   -6.570 eV per atom

---

# 12
Compound: Zr2SiCl
Source: the Alexandria database
Functional: PBE
Structure: relaxed

a b c (Å): 6.6711 6.6711 6.6711
angles (deg): 90.00 90.00 90.00
With the nearest neighbours (Å) after each atom.
Space group Fm-3m (No. 225)
Inequivalent atoms, fractional coordinates:
Zr1 0.2500 0.2500 0.2500 (multiplicity 8)  4 Si 2.89, 4 Cl 2.89
Si1 0.0000 0.0000 0.0000 (multiplicity 4)  8 Zr 2.89
Cl1 0.0000 0.0000 0.5000 (multiplicity 4)  8 Zr 2.89

Results
Calculated density   5.5 Mg/m³
DOS at the Fermi energy   9.80 states/eV/cell
ΔE to the lowest computed polymorph   0.156 eV per atom
Raw total energy   -6.659 eV per atom

---

# 13
Compound: Zr2SiCl
Source: the Alexandria database
Functional: PBE
Structure: relaxed

a b c (Å): 3.0727 4.7279 10.8951
angles (deg): 90.00 90.00 90.00
With the nearest neighbours (Å) after each atom.
Space group Imm2 (No. 44)
Inequivalent atoms, fractional coordinates:
Zr1 0.0000 0.0000 0.0000 (multiplicity 2)  2 Cl 2.68, 4 Si 2.82
Zr2 0.0000 0.5000 0.2141 (multiplicity 2)  4 Cl 2.82, 2 Si 2.92, 2 Zr 3.07
Si1 0.0000 0.0000 0.4867 (multiplicity 2)  6 Zr 2.82-2.92, 2 Si 3.07
Cl1 0.0000 0.5000 0.7013 (multiplicity 2)  6 Zr 2.68-2.82

Results
Calculated density   5.2 Mg/m³
DOS at the Fermi energy   9.46 states/eV/cell
ΔE to the lowest computed polymorph   0.331 eV per atom
Raw total energy   -6.483 eV per atom

---

# 14
Compound: ZrSiCl2
Source: the Alexandria database
Functional: PBE
Structure: relaxed

a b c (Å): 9.8718 3.1683 7.2514
angles (deg): 90.00 99.29 90.00
With the nearest neighbours (Å) after each atom.
Space group Cm (No. 8)
Inequivalent atoms, fractional coordinates:
Zr1 0.0000 0.0000 0.0000 (multiplicity 2)  4 Cl 2.56-2.74, 3 Si 2.77-2.78
Si1 0.2325 0.5000 0.0760 (multiplicity 2)  1 Cl 2.28
Cl1 0.0957 0.5000 0.3009 (multiplicity 2)  1 Si 2.28
Cl2 0.3913 0.0000 0.7402 (multiplicity 2)  2 Zr 2.56

Results
Calculated density   2.8 Mg/m³
ΔE to the lowest computed polymorph   0.079 eV per atom
Raw total energy   -5.199 eV per atom

---

# 15
Compound: ZrSiCl
Source: the Alexandria database
Functional: PBE
Structure: relaxed

a b c (Å): 4.5594 4.5594 3.1169
angles (deg): 90.00 90.00 120.00
With the nearest neighbours (Å) after each atom.
Space group P-6m2 (No. 187)
Inequivalent atoms, fractional coordinates:
Zr1 0.0000 0.0000 0.0000 (multiplicity 1)  3 Cl 2.63
Si1 0.3333 0.6667 0.5000 (multiplicity 1)  6 Zr 3.06, 6 Cl 3.06, 2 Si 3.12
Cl1 0.6667 0.3333 0.0000 (multiplicity 1)  3 Zr 2.63

Results
Calculated density   4.6 Mg/m³
DOS at the Fermi energy   1.88 states/eV/cell
Raw total energy   -5.688 eV per atom

---

# 16
Compound: ZrSiCl2
Source: the Alexandria database
Functional: PBE
Structure: relaxed

a b c (Å): 3.1333 5.8232 11.7317
angles (deg): 90.00 90.00 90.00
With the nearest neighbours (Å) after each atom.
Space group Cmmm (No. 65)
Inequivalent atoms, fractional coordinates:
Zr1 0.0000 0.0000 0.0000 (multiplicity 2)  4 Cl 2.56
Si1 0.0000 0.0000 0.5000 (multiplicity 2)  6 Si 3.13-3.31
Cl1 0.0000 0.5000 0.1723 (multiplicity 4)  2 Zr 2.56

Results
Calculated density   3.0 Mg/m³
DOS at the Fermi energy   4.96 states/eV/cell
ΔE to the lowest computed polymorph   0.486 eV per atom
Raw total energy   -4.792 eV per atom

---

So what do the calculations give for ΔE_f (raw)? Going down the list: -0.59 -0.54 -0.39 -0.21 0.04 -0.13 -0.54 -0.45 -0.21 -0.16 -0.48 -0.57 -0.39 -0.78 -0.42 -0.38 eV per atom.